1.
# FeSb2As (GGA-PBE, relaxed)
data_FeSb2As
_chemical_formula_sum 'Fe2 Sb4 As2'
_symmetry_space_group_name_H-M 'I m m m'
_symmetry_Int_Tables_number 71
_symmetry_space_group_name_Hall '-I 2 2'
_cell_length_a 3.179
_cell_length_b 3.740
_cell_length_c 15.116
_cell_angle_alpha 90.00
_cell_angle_beta 90.00
_cell_angle_gamma 90.00
loop_
_atom_site_label
_atom_site_fract_x
_atom_site_fract_y
_atom_site_fract_z
Fe1 0.000 0.000 0.000
Sb1 0.000 0.500 0.347
As1 0.000 0.000 0.500
# Formation energy (no corrections) ... 83.4 kJ/mol of formula units

2.
# FeSb2As (GGA-PBE, relaxed)
data_FeSb2As
_chemical_formula_sum 'Fe2 Sb4 As2'
_symmetry_space_group_name_H-M 'A m m 2'
_symmetry_Int_Tables_number 38
_cell_length_a 3.927
_cell_length_b 4.749
_cell_length_c 9.421
_cell_angle_alpha 90.00
_cell_angle_beta 90.00
_cell_angle_gamma 90.00
loop_
_symmetry_equiv_pos_as_xyz
'x,y,z'
'-x,-y,z'
'-x,y,z'
'x,-y,z'
'x,y+1/2,z+1/2'
'-x,-y+1/2,z+1/2'
'-x,y+1/2,z+1/2'
'x,-y+1/2,z+1/2'
loop_
_atom_site_label
_atom_site_fract_x
_atom_site_fract_y
_atom_site_fract_z
Fe1 0.000 0.000 0.000
Sb1 0.000 0.000 0.502
Sb2 0.500 0.000 0.820
As1 0.500 0.000 0.155
# Formation energy (no corrections) ... 31.4 kJ/mol of formula units

3.
# FeSb2As (GGA-PBE, relaxed)
data_FeSb2As
_chemical_formula_sum 'Fe2 Sb4 As2'
_symmetry_space_group_name_H-M 'I m m 2'
_symmetry_Int_Tables_number 44
_cell_length_a 3.179
_cell_length_b 4.633
_cell_length_c 11.753
_cell_angle_alpha 90.00
_cell_angle_beta 90.00
_cell_angle_gamma 90.00
loop_
_symmetry_equiv_pos_as_xyz
'x,y,z'
'-x,-y,z'
'-x,y,z'
'x,-y,z'
'x+1/2,y+1/2,z+1/2'
'-x+1/2,-y+1/2,z+1/2'
'-x+1/2,y+1/2,z+1/2'
'x+1/2,-y+1/2,z+1/2'
loop_
_atom_site_label
_atom_site_fract_x
_atom_site_fract_y
_atom_site_fract_z
Fe1 0.000 0.000 0.000
Sb1 0.000 0.000 0.496
Sb2 0.000 0.500 0.309
As1 0.000 0.500 0.658
# Formation energy (no corrections) ... 93.2 kJ/mol of formula units

4.
# FeSbAs2 (GGA-PBE, relaxed)
data_FeSbAs2
_chemical_formula_sum 'Fe3 Sb3 As6'
_symmetry_space_group_name_H-M 'R -3 m'
_symmetry_Int_Tables_number 166
_symmetry_space_group_name_Hall '-R 3 2"'
_cell_length_a 3.2010
_cell_length_b 3.2010
_cell_length_c 25.5980
_cell_angle_alpha 90.00
_cell_angle_beta 90.00
_cell_angle_gamma 120.00
loop_
_atom_site_label
_atom_site_fract_x
_atom_site_fract_y
_atom_site_fract_z
Fe1 0.0000 0.0000 0.0000
Sb1 0.0000 0.0000 0.5000
As1 0.0000 0.0000 0.2710
# Formation energy (no corrections) ... 42.5 kJ/mol of formula units

5.
# FeSb4As (GGA-PBE, relaxed)
data_FeSb4As
_chemical_formula_sum 'Fe4 Sb16 As4'
_symmetry_space_group_name_H-M 'F -4 3 m'
_symmetry_Int_Tables_number 216
_symmetry_space_group_name_Hall 'F -4 2 3'
_cell_length_a 8.637
_cell_length_b 8.637
_cell_length_c 8.637
_cell_angle_alpha 90.00
_cell_angle_beta 90.00
_cell_angle_gamma 90.00
loop_
_atom_site_label
_atom_site_fract_x
_atom_site_fract_y
_atom_site_fract_z
Fe1 0.000 0.000 0.000
Sb1 0.125 0.125 0.625
As1 0.250 0.250 0.250
# Formation energy (no corrections) ... 506.3 kJ/mol of formula units

6.
# FeSbAs2 (GGA-PBE, relaxed)
data_FeSbAs2
_chemical_formula_sum 'Fe3 Sb3 As6'
_symmetry_space_group_name_H-M 'R 3 m'
_symmetry_Int_Tables_number 160
_symmetry_space_group_name_Hall 'R 3 -2"'
_cell_length_a 3.4243
_cell_length_b 3.4243
_cell_length_c 22.6990
_cell_angle_alpha 90.00
_cell_angle_beta 90.00
_cell_angle_gamma 120.00
loop_
_atom_site_label
_atom_site_fract_x
_atom_site_fract_y
_atom_site_fract_z
Fe1 0.0000 0.0000 0.0000
Sb1 0.0000 0.0000 0.7477
As1 0.0000 0.0000 0.2735
As2 0.0000 0.0000 0.5050
# Formation energy (no corrections) ... 97.8 kJ/mol of formula units

7.
# FeSb2As (GGA-PBE, relaxed)
data_FeSb2As
_chemical_formula_sum 'Fe1 Sb2 As1'
_symmetry_space_group_name_H-M 'P 4 m m'
_symmetry_Int_Tables_number 99
_cell_length_a 3.087
_cell_length_b 3.087
_cell_length_c 8.703
_cell_angle_alpha 90.00
_cell_angle_beta 90.00
_cell_angle_gamma 90.00
loop_
_symmetry_equiv_pos_as_xyz
'x,y,z'
'-y,x,z'
'-x,-y,z'
'y,-x,z'
'-x,y,z'
'y,x,z'
'x,-y,z'
'-y,-x,z'
loop_
_atom_site_label
_atom_site_fract_x
_atom_site_fract_y
_atom_site_fract_z
Fe1 0.000 0.000 0.000
Sb1 0.000 0.000 0.553
Sb2 0.500 0.500 0.198
As1 0.500 0.500 0.852
# Formation energy (no corrections) ... 60.9 kJ/mol of formula units

8.
# Fe2SbAs (GGA-PBE, relaxed)
data_Fe2SbAs
_chemical_formula_sum 'Fe2 Sb1 As1'
_symmetry_space_group_name_H-M 'P 1 m 1'
_symmetry_Int_Tables_number 6
_cell_length_a 3.394
_cell_length_b 4.142
_cell_length_c 4.946
_cell_angle_alpha 90.00
_cell_angle_beta 110.02
_cell_angle_gamma 90.00
loop_
_symmetry_equiv_pos_as_xyz
'x,y,z'
'x,-y,z'
loop_
_atom_site_label
_atom_site_fract_x
_atom_site_fract_y
_atom_site_fract_z
Fe1 0.000 0.000 0.000
Fe2 0.141 0.500 0.280
Sb1 0.719 0.000 0.439
As1 0.439 0.500 0.873
# Formation energy (no corrections) ... 38.4 kJ/mol of formula units

9.
# Fe2SbAs (GGA-PBE, relaxed)
data_Fe2SbAs
_chemical_formula_sum 'Fe4 Sb2 As2'
_symmetry_space_group_name_H-M 'I m m 2'
_symmetry_Int_Tables_number 44
_cell_length_a 3.002
_cell_length_b 3.510
_cell_length_c 12.151
_cell_angle_alpha 90.00
_cell_angle_beta 90.00
_cell_angle_gamma 90.00
loop_
_symmetry_equiv_pos_as_xyz
'x,y,z'
'-x,-y,z'
'-x,y,z'
'x,-y,z'
'x+1/2,y+1/2,z+1/2'
'-x+1/2,-y+1/2,z+1/2'
'-x+1/2,y+1/2,z+1/2'
'x+1/2,-y+1/2,z+1/2'
loop_
_atom_site_label
_atom_site_fract_x
_atom_site_fract_y
_atom_site_fract_z
Fe1 0.000 0.000 0.000
Fe2 0.000 0.500 0.306
Sb1 0.000 0.500 0.688
As1 0.000 0.000 0.439
# Formation energy (no corrections) ... 43.7 kJ/mol of formula units

10.
# FeSbAs2 (GGA-PBE, relaxed)
data_FeSbAs2
_chemical_formula_sum 'Fe2 Sb2 As4'
_symmetry_space_group_name_H-M 'C m m m'
_symmetry_Int_Tables_number 65
_symmetry_space_group_name_Hall '-C 2 2'
_cell_length_a 5.765
_cell_length_b 7.525
_cell_length_c 3.582
_cell_angle_alpha 90.00
_cell_angle_beta 90.00
_cell_angle_gamma 90.00
loop_
_atom_site_label
_atom_site_fract_x
_atom_site_fract_y
_atom_site_fract_z
Fe1 0.000 0.000 0.000
Sb1 0.000 0.500 0.000
As1 0.250 0.250 0.500
# Formation energy (no corrections) ... 197.9 kJ/mol of formula units

11.
# FeSbAs2 (GGA-PBE, relaxed)
data_FeSbAs2
_chemical_formula_sum 'Fe2 Sb2 As4'
_symmetry_space_group_name_H-M 'A m m 2'
_symmetry_Int_Tables_number 38
_cell_length_a 3.902
_cell_length_b 4.405
_cell_length_c 9.601
_cell_angle_alpha 90.00
_cell_angle_beta 90.00
_cell_angle_gamma 90.00
loop_
_symmetry_equiv_pos_as_xyz
'x,y,z'
'-x,-y,z'
'-x,y,z'
'x,-y,z'
'x,y+1/2,z+1/2'
'-x,-y+1/2,z+1/2'
'-x,y+1/2,z+1/2'
'x,-y+1/2,z+1/2'
loop_
_atom_site_label
_atom_site_fract_x
_atom_site_fract_y
_atom_site_fract_z
Fe1 0.000 0.000 0.000
Sb1 0.500 0.000 0.177
As1 0.000 0.000 0.499
As2 0.500 0.000 0.847
# Formation energy (no corrections) ... -3.1 kJ/mol of formula units

12.
# Fe2SbAs (GGA-PBE, relaxed)
data_Fe2SbAs
_chemical_formula_sum 'Fe4 Sb2 As2'
_symmetry_space_group_name_H-M 'I -4 m 2'
_symmetry_Int_Tables_number 119
_symmetry_space_group_name_Hall 'I -4 -2'
_cell_length_a 3.930
_cell_length_b 3.930
_cell_length_c 8.339
_cell_angle_alpha 90.00
_cell_angle_beta 90.00
_cell_angle_gamma 90.00
loop_
_atom_site_label
_atom_site_fract_x
_atom_site_fract_y
_atom_site_fract_z
Fe1 0.000 0.000 0.000
Fe2 0.000 0.500 0.250
Sb1 0.000 0.500 0.750
As1 0.000 0.000 0.500
# Formation energy (no corrections) ... 153.3 kJ/mol of formula units

13.
# Fe2SbAs (GGA-PBE, relaxed)
data_Fe2SbAs
_chemical_formula_sum 'Fe2 Sb1 As1'
_symmetry_space_group_name_H-M 'P 4/m m m'
_symmetry_Int_Tables_number 123
_symmetry_space_group_name_Hall '-P 4 2'
_cell_length_a 4.363
_cell_length_b 4.363
_cell_length_c 3.121
_cell_angle_alpha 90.00
_cell_angle_beta 90.00
_cell_angle_gamma 90.00
loop_
_atom_site_label
_atom_site_fract_x
_atom_site_fract_y
_atom_site_fract_z
Fe1 0.000 0.500 0.000
Sb1 0.000 0.000 0.500
As1 0.500 0.500 0.500
# Formation energy (no corrections) ... 109.5 kJ/mol of formula units

14.
# FeSbAs2 (GGA-PBE, relaxed)
data_FeSbAs2
_chemical_formula_sum 'Fe1 Sb1 As2'
_symmetry_space_group_name_H-M 'P 4/m m m'
_symmetry_Int_Tables_number 123
_symmetry_space_group_name_Hall '-P 4 2'
_cell_length_a 2.994
_cell_length_b 2.994
_cell_length_c 8.466
_cell_angle_alpha 90.00
_cell_angle_beta 90.00
_cell_angle_gamma 90.00
loop_
_atom_site_label
_atom_site_fract_x
_atom_site_fract_y
_atom_site_fract_z
Fe1 0.000 0.000 0.000
Sb1 0.000 0.000 0.500
As1 0.500 0.500 0.168
# Formation energy (no corrections) ... 40.3 kJ/mol of formula units

15.
# FeSb2As (GGA-PBE, relaxed)
data_FeSb2As
_chemical_formula_sum 'Fe1 Sb2 As1'
_symmetry_space_group_name_H-M 'P m m m'
_symmetry_Int_Tables_number 47
_cell_length_a 3.245
_cell_length_b 3.262
_cell_length_c 7.476
_cell_angle_alpha 90.00
_cell_angle_beta 90.00
_cell_angle_gamma 90.00
loop_
_symmetry_equiv_pos_as_xyz
'x,y,z'
'-x,-y,-z'
'-x,-y,z'
'x,y,-z'
'x,-y,-z'
'-x,y,z'
'-x,y,-z'
'x,-y,z'
loop_
_atom_site_label
_atom_site_fract_x
_atom_site_fract_y
_atom_site_fract_z
Fe1 0.000 0.000 0.000
Sb1 0.500 0.500 0.211
As1 0.000 0.000 0.500
# Formation energy (no corrections) ... 122.7 kJ/mol of formula units

16.
# FeSb2As (GGA-PBE, relaxed)
data_FeSb2As
_chemical_formula_sum 'Fe4 Sb8 As4'
_symmetry_space_group_name_H-M 'I -4 2 d'
_symmetry_Int_Tables_number 122
_symmetry_space_group_name_Hall 'I -4 2bw'
_cell_length_a 6.011
_cell_length_b 6.011
_cell_length_c 11.825
_cell_angle_alpha 90.00
_cell_angle_beta 90.00
_cell_angle_gamma 90.00
loop_
_atom_site_label
_atom_site_fract_x
_atom_site_fract_y
_atom_site_fract_z
Fe1 0.000 0.000 0.000
Sb1 0.204 0.250 0.125
As1 0.000 0.000 0.500
# Formation energy (no corrections) ... 141.1 kJ/mol of formula units

17.
# FeSbAs2 (GGA-PBE, relaxed)
data_FeSbAs2
_chemical_formula_sum 'Fe1 Sb1 As2'
_symmetry_space_group_name_H-M 'P 4/m m m'
_symmetry_Int_Tables_number 123
_symmetry_space_group_name_Hall '-P 4 2'
_cell_length_a 3.822
_cell_length_b 3.822
_cell_length_c 5.522
_cell_angle_alpha 90.00
_cell_angle_beta 90.00
_cell_angle_gamma 90.00
loop_
_atom_site_label
_atom_site_fract_x
_atom_site_fract_y
_atom_site_fract_z
Fe1 0.000 0.000 0.000
Sb1 0.500 0.500 0.000
As1 0.000 0.000 0.500
As2 0.500 0.500 0.500
# Formation energy (no corrections) ... 123.0 kJ/mol of formula units

18.
# FeSb2As (GGA-PBE, relaxed)
data_FeSb2As
_chemical_formula_sum 'Fe2 Sb4 As2'
_symmetry_space_group_name_H-M 'C 1 m 1'
_symmetry_Int_Tables_number 8
_cell_length_a 8.365
_cell_length_b 3.332
_cell_length_c 6.652
_cell_angle_alpha 90.00
_cell_angle_beta 109.07
_cell_angle_gamma 90.00
loop_
_symmetry_equiv_pos_as_xyz
'x,y,z'
'x,-y,z'
'x+1/2,y+1/2,z'
'x+1/2,-y+1/2,z'
loop_
_atom_site_label
_atom_site_fract_x
_atom_site_fract_y
_atom_site_fract_z
Fe1 0.000 0.000 0.000
Sb1 0.071 0.500 0.335
Sb2 0.382 0.000 0.664
As1 0.210 0.500 0.993
# Formation energy (no corrections) ... 38.3 kJ/mol of formula units

19.
# FeSbAs2 (GGA-PBE, relaxed)
data_FeSbAs2
_chemical_formula_sum 'Fe2 Sb2 As4'
_symmetry_space_group_name_H-M 'C 1 2/m 1'
_symmetry_Int_Tables_number 12
_cell_length_a 5.406
_cell_length_b 10.343
_cell_length_c 3.873
_cell_angle_alpha 90.00
_cell_angle_beta 133.65
_cell_angle_gamma 90.00
loop_
_symmetry_equiv_pos_as_xyz
'x,y,z'
'-x,-y,-z'
'-x,y,-z'
'x,-y,z'
'x+1/2,y+1/2,z'
'-x+1/2,-y+1/2,-z'
'-x+1/2,y+1/2,-z'
'x+1/2,-y+1/2,z'
loop_
_atom_site_label
_atom_site_fract_x
_atom_site_fract_y
_atom_site_fract_z
Fe1 0.000 0.000 0.000
Sb1 0.000 0.500 0.000
As1 0.250 0.250 0.500
# Formation energy (no corrections) ... 140.7 kJ/mol of formula units

20.
# Fe2SbAs (GGA-PBE, relaxed)
data_Fe2SbAs
_chemical_formula_sum 'Fe6 Sb3 As3'
_symmetry_space_group_name_H-M 'R 3 m'
_symmetry_Int_Tables_number 160
_symmetry_space_group_name_Hall 'R 3 -2"'
_cell_length_a 3.2014
_cell_length_b 3.2014
_cell_length_c 23.5066
_cell_angle_alpha 90.00
_cell_angle_beta 90.00
_cell_angle_gamma 120.00
loop_
_atom_site_label
_atom_site_fract_x
_atom_site_fract_y
_atom_site_fract_z
Fe1 0.0000 0.0000 0.0000
Fe2 0.0000 0.0000 0.2617
Sb1 0.0000 0.0000 0.7494
As1 0.0000 0.0000 0.5295
# Formation energy (no corrections) ... 98.8 kJ/mol of formula units